1.
ZnIr2S4 | GGA-PBE | relaxed

Polymorph energy (0 for the lowest one), meV per atom: 0
Symmetry: No. 141

Lattice parameters (Å, degrees): 7.1049 7.1049 7.1049 120.09 120.09 89.85
Element x y z (fractional)
Zn 0.3750 0.6250 0.7500
Zn 0.6250 0.3750 0.2500
Ir 0.0000 0.0000 0.0000
Ir 0.0000 0.0000 0.5000
Ir 0.0000 0.5000 0.0000
Ir 0.5000 0.0000 0.5000
S 0.2084 0.2357 0.9727
S 0.2357 0.2084 0.4727
S 0.2357 0.7629 0.0273
S 0.2371 0.7643 0.4727
S 0.7629 0.2357 0.5273
S 0.7643 0.2371 0.9727
S 0.7643 0.7916 0.5273
S 0.7916 0.7643 0.0273



2.
Nd2Ag2O5 | GGA-PBE | relaxed

Polymorph energy (0 for the lowest one), meV per atom: 82
Symmetry: No. 123

Lattice parameters (Å, degrees): 4.0973 4.0973 9.1536 90.00 90.00 90.00
Element x y z (fractional)
Nd 0.0000 0.0000 0.2481
Nd 0.0000 0.0000 0.7519
Ag 0.5000 0.5000 0.0000
Ag 0.5000 0.5000 0.5000
O 0.0000 0.0000 0.5000
O 0.0000 0.5000 0.1456
O 0.0000 0.5000 0.8544
O 0.5000 0.0000 0.1456
O 0.5000 0.0000 0.8544



3.
RbPaAsO | GGA-PBE | relaxed

Polymorph energy (0 for the lowest one), meV per atom: 0
Symmetry: No. 26

Lattice parameters (Å, degrees): 4.4446 8.6294 7.0778 90.00 90.00 90.00
Element x y z (fractional)
Rb 0.0000 0.1692 0.0000
Rb 0.0000 0.8308 0.5000
Pa 0.5000 0.4000 0.5894
Pa 0.5000 0.6000 0.0894
As 0.0000 0.2272 0.4767
As 0.0000 0.7728 0.9767
O 0.5000 0.3984 0.9021
O 0.5000 0.6016 0.4021



4.
Dy2HfGa2 | GGA-PBE | relaxed

Total energy, eV per cell: -54.297
Symmetry: No. 43

Lattice parameters (Å, degrees): 8.3613 5.9663 9.3960 61.23 38.71 80.06
Element x y z (fractional)
Dy 0.2195 0.7805 0.3742
Dy 0.6242 0.8758 0.4695
Dy 0.7805 0.2195 0.6258
Dy 0.8758 0.6242 0.0305
Hf 0.2647 0.2647 0.7353
Hf 0.5147 0.5147 0.9853
Ga 0.1680 0.2769 0.0818
Ga 0.1682 0.7766 0.0820
Ga 0.2769 0.1680 0.4734
Ga 0.7766 0.1682 0.9731



5.
BeTlCoHg | GGA-PBE | relaxed

Polymorph energy (0 for the lowest one), meV per atom: 0
Symmetry: No. 216

Lattice parameters (Å, degrees): 4.4911 4.4911 4.4911 60.00 60.00 60.00
Element x y z (fractional)
Be 0.0000 0.0000 0.0000
Tl 0.2500 0.2500 0.2500
Co 0.5000 0.5000 0.5000
Hg 0.7500 0.7500 0.7500



6.
TmCd2O3 | GGA-PBE | relaxed

Total energy, eV per cell: -32.061
Symmetry: No. 164

Lattice parameters (Å, degrees): 3.4043 3.4043 8.5276 90.00 90.00 120.00
Element x y z (fractional)
Tm 0.0000 0.0000 0.0000
Cd 0.3333 0.6667 0.6546
Cd 0.6667 0.3333 0.3454
O 0.0000 0.0000 0.5000
O 0.3333 0.6667 0.1288
O 0.6667 0.3333 0.8712